First-principles (GGA-PBE) data for a relaxed Ac2ScSb3Pd4 crystal, as listed in the Alexandria database.

The formation energy without anion corrections comes out at -0.94 eV/atom. The symmetry is P-4m2, No. 115. For the total energy, the calculation gives -5.71 eV/atom.

a = 4.5823 Å, b = 4.5823 Å, c = 11.3604 Å
α = 90.00°, β = 90.00°, γ = 90.00°
With the nearest neighbours (Å) after each atom.
Sites, in units of the cell vectors:
Ac 0.0000 0.5000 0.2300  6 Sb 3.43-3.83, 8 Pd 3.47-3.59, 2 Sc 3.83
Ac 0.5000 0.0000 0.7700  6 Sb 3.43-3.83, 8 Pd 3.47-3.59, 2 Sc 3.83
Sc 0.0000 0.0000 0.5000  4 Pd 2.75
Sb 0.0000 0.5000 0.8697  5 Pd 2.67-2.73
Sb 0.5000 0.0000 0.1303  5 Pd 2.67-2.73
Sb 0.5000 0.5000 0.5000  4 Pd 2.75
Pd 0.0000 0.0000 0.0000  4 Sb 2.73
Pd 0.0000 0.5000 0.6343  3 Sb 2.67-2.75, 2 Sc 2.75
Pd 0.5000 0.0000 0.3657  3 Sb 2.67-2.75, 2 Sc 2.75
Pd 0.5000 0.5000 0.0000  4 Sb 2.73

First-principles (GGA-PBE) data for a relaxed AcSbPdSe crystal, as listed in the Alexandria database.

The formation energy without anion corrections comes out at -1.14 eV/atom. The symmetry is P4/nmm, No. 129. For the total energy, the calculation gives -5.37 eV/atom.

a = 5.0144 Å, b = 5.0144 Å, c = 8.8558 Å
α = 90.00°, β = 90.00°, γ = 90.00°
With the nearest neighbours (Å) after each atom.
Sites, in units of the cell vectors:
Ac 0.2500 0.2500 0.1896  4 Se 3.02
Ac 0.7500 0.7500 0.8104  4 Se 3.02
Sb 0.2500 0.2500 0.6231  4 Pd 2.73
Sb 0.7500 0.7500 0.3769  4 Pd 2.73
Pd 0.2500 0.7500 0.5000  4 Sb 2.73
Pd 0.7500 0.2500 0.5000  4 Sb 2.73
Se 0.2500 0.7500 0.0000  4 Ac 3.02
Se 0.7500 0.2500 0.0000  4 Ac 3.02

Question: Number 2 is which compound?
Answer: AcSbPdSe